1) 4
Lattice="0.000 3.787 3.787 3.787 0.000 3.787 3.787 3.787 0.000" Properties=species:S:1:pos:R:3 comment="SiSnPb2, relaxed, DFT GGA-PBE" dos_ef_per_ev_cell=2.43 magnetic_moment_mub_per_atom=0.000 space_group="Fm-3m, No. 225" pbc="T T T"
Si 0.000 0.000 0.000
Sn 3.787 3.787 3.787
Pb 1.894 1.894 1.894
Pb 5.681 5.681 5.681

---

2) 8
Lattice="-3.281 3.281 6.504 3.281 -3.281 6.504 3.281 3.281 -6.504" Properties=species:S:1:pos:R:3 comment="SiSnPb2, relaxed, DFT GGA-PBE" dos_ef_per_ev_cell=0.71 magnetic_moment_mub_per_atom=0.000 space_group="I-42d, No. 122" pbc="T T T"
Si 0.000 0.000 0.000
Si 0.000 3.281 3.252
Sn 3.281 0.000 3.252
Sn 0.000 0.000 6.504
Pb 4.922 1.448 -1.626
Pb 1.448 1.641 1.626
Pb -1.641 1.834 4.878
Pb 1.834 1.641 8.130

---

Relative energies with respect to the most stable structure, expressed in meV/atom: 1) 45; 2) 0.

---

1) 4
Lattice="3.571 0.000 0.000 0.000 5.694 0.000 0.000 0.000 6.687" Properties=species:S:1:pos:R:3 comment="Sr2SiPb, relaxed, DFT GGA-PBE" dos_ef_per_ev_cell=4.58 magnetic_moment_mub_per_atom=0.000 space_group="Pmmm, No. 47" pbc="T T T"
Sr 0.000 0.000 0.000
Sr 1.785 2.847 3.343
Si 0.000 0.000 3.343
Pb 1.785 2.847 0.000

---

2) 4
Lattice="3.570 -4.661 0.000 3.570 4.661 0.000 0.000 0.000 3.663" Properties=species:S:1:pos:R:3 comment="Sr2SiPb, relaxed, DFT GGA-PBE" dos_ef_per_ev_cell=1.79 magnetic_moment_mub_per_atom=0.000 space_group="Cmmm, No. 65" pbc="T T T"
Sr 1.785 2.331 0.000
Sr 1.785 -2.331 0.000
Si 0.000 0.000 1.832
Pb 3.570 0.000 1.832

---

3) 4
Lattice="0.000 3.975 3.975 3.975 0.000 3.975 3.975 3.975 0.000" Properties=species:S:1:pos:R:3 comment="Sr2SiPb, relaxed, DFT GGA-PBE" dos_ef_per_ev_cell=2.33 magnetic_moment_mub_per_atom=0.000 space_group="Fm-3m, No. 225" pbc="T T T"
Sr 1.987 1.987 1.987
Sr 5.962 5.962 5.962
Si 0.000 0.000 0.000
Pb 3.975 3.975 3.975

---

4) 4
Lattice="3.630 0.000 0.000 0.000 3.630 0.000 0.000 0.000 9.305" Properties=species:S:1:pos:R:3 comment="Sr2SiPb, relaxed, DFT GGA-PBE" dos_ef_per_ev_cell=2.43 magnetic_moment_mub_per_atom=0.000 space_group="P4/mmm, No. 123" pbc="T T T"
Sr 0.000 0.000 2.020
Sr 0.000 0.000 7.285
Si 1.815 1.815 0.000
Pb 1.815 1.815 4.653

---

Relative energies with respect to the most stable structure, expressed in meV/atom: 1) 299; 2) 57; 3) 64; 4) 0.

---

1) 4
Lattice="4.407 0.000 0.000 0.000 2.493 5.923 0.000 -2.493 5.923" Properties=species:S:1:pos:R:3 comment="Sr2SiPb, relaxed, DFT GGA-PBE" dos_ef_per_ev_cell=1.50 magnetic_moment_mub_per_atom=0.000 space_group="Amm2, No. 38" pbc="T T T"
Sr 0.000 0.000 0.000
Sr 2.204 0.000 3.260
Si 2.204 0.000 6.576
Pb 0.000 0.000 8.379

---

2) 8
Lattice="-4.418 4.418 3.486 4.418 -4.418 3.486 4.418 4.418 -3.486" Properties=species:S:1:pos:R:3 comment="Sr2SiPb, relaxed, DFT GGA-PBE" dos_ef_per_ev_cell=8.39 magnetic_moment_mub_per_atom=0.000 space_group="I-42d, No. 122" pbc="T T T"
Sr 6.627 1.945 -0.871
Sr 1.945 2.209 0.871
Sr -2.209 2.473 2.614
Sr 2.473 2.209 4.357
Si 0.000 0.000 0.000
Si 0.000 4.418 1.743
Pb 4.418 0.000 1.743
Pb 0.000 0.000 3.486

---

3) 4
Lattice="1.998 1.154 9.896 -1.998 1.154 9.896 0.000 -2.307 9.896" Properties=species:S:1:pos:R:3 comment="Sr2SiPb, relaxed, DFT GGA-PBE" dos_ef_per_ev_cell=3.62 magnetic_moment_mub_per_atom=0.000 space_group="R-3m, No. 166" pbc="T T T"
Sr 0.000 0.000 7.126
Sr 0.000 0.000 22.563
Si 0.000 0.000 14.845
Pb 0.000 0.000 0.000

---

Relative energies with respect to the most stable structure, expressed in meV/atom: 1) 0; 2) 437; 3) 267.

---

1) 5
Lattice="5.479 0.000 0.000 0.000 5.479 0.000 0.000 0.000 5.479" Properties=species:S:1:pos:R:3 comment="SrSi3Pb, relaxed, DFT GGA-PBE" dos_ef_per_ev_cell=6.51 magnetic_moment_mub_per_atom=0.000 space_group="Pm-3m, No. 221" pbc="T T T"
Sr 0.000 0.000 0.000
Si 0.000 0.000 2.740
Si 0.000 2.740 0.000
Si 2.740 0.000 0.000
Pb 2.740 2.740 2.740

---

2) 5
Lattice="5.350 0.000 0.000 0.000 5.350 0.000 0.000 0.000 5.350" Properties=species:S:1:pos:R:3 comment="SrSi3Pb, relaxed, DFT GGA-PBE" dos_ef_per_ev_cell=4.04 magnetic_moment_mub_per_atom=0.000 space_group="Pm-3m, No. 221" pbc="T T T"
Sr 0.000 0.000 0.000
Si 0.000 2.675 2.675
Si 2.675 0.000 2.675
Si 2.675 2.675 0.000
Pb 2.675 2.675 2.675

---

Relative energies with respect to the most stable structure, expressed in meV/atom: 1) 572; 2) 0.

---

1) 5
Lattice="4.936 0.000 0.000 0.000 4.936 0.000 0.000 0.000 4.936" Properties=species:S:1:pos:R:3 comment="TaSi3Pb, relaxed, DFT GGA-PBE" dos_ef_per_ev_cell=3.46 magnetic_moment_mub_per_atom=0.000 space_group="Pm-3m, No. 221" pbc="T T T"
Ta 0.000 0.000 0.000
Si 0.000 0.000 2.468
Si 0.000 2.468 0.000
Si 2.468 0.000 0.000
Pb 2.468 2.468 2.468

---

2) 5
Lattice="5.042 0.000 0.000 0.000 5.042 0.000 0.000 0.000 5.042" Properties=species:S:1:pos:R:3 comment="TaSi3Pb, relaxed, DFT GGA-PBE" dos_ef_per_ev_cell=7.27 magnetic_moment_mub_per_atom=0.000 space_group="Pm-3m, No. 221" pbc="T T T"
Ta 0.000 0.000 0.000
Si 0.000 2.521 2.521
Si 2.521 0.000 2.521
Si 2.521 2.521 0.000
Pb 2.521 2.521 2.521

---

Relative energies with respect to the most stable structure, expressed in meV/atom: 1) 0; 2) 1618.

---

1) 5
Lattice="5.087 0.000 0.000 0.000 5.087 0.000 0.000 0.000 5.087" Properties=species:S:1:pos:R:3 comment="SiTc3Pb, relaxed, DFT GGA-PBE" dos_ef_per_ev_cell=7.02 magnetic_moment_mub_per_atom=1.589 space_group="Pm-3m, No. 221" pbc="T T T"
Si 0.000 0.000 0.000
Tc 0.000 2.543 2.543
Tc 2.543 0.000 2.543
Tc 2.543 2.543 0.000
Pb 2.543 2.543 2.543

---

2) 5
Lattice="4.495 0.000 0.000 0.000 4.495 0.000 0.000 0.000 4.495" Properties=species:S:1:pos:R:3 comment="SiTc3Pb, relaxed, DFT GGA-PBE" dos_ef_per_ev_cell=2.60 magnetic_moment_mub_per_atom=0.455 space_group="Pm-3m, No. 221" pbc="T T T"
Si 0.000 0.000 0.000
Tc 0.000 0.000 2.248
Tc 0.000 2.248 0.000
Tc 2.248 0.000 0.000
Pb 2.248 2.248 2.248

---

Relative energies with respect to the most stable structure, expressed in meV/atom: 1) 1872; 2) 0.

---

1) 4
Lattice="-1.865 2.893 5.759 1.865 -2.893 5.759 1.865 2.893 -5.759" Properties=species:S:1:pos:R:3 comment="SiTe2Pb, relaxed, DFT GGA-PBE" dos_ef_per_ev_cell=1.38 magnetic_moment_mub_per_atom=0.000 space_group="Imm2, No. 44" pbc="T T T"
Si 0.000 0.000 0.000
Te 0.000 0.000 6.286
Te 0.000 2.893 3.783
Pb 1.865 0.000 3.782

---

2) 4
Lattice="0.000 3.805 3.805 3.805 0.000 3.805 3.805 3.805 0.000" Properties=species:S:1:pos:R:3 comment="SiTe2Pb, relaxed, DFT GGA-PBE" dos_ef_per_ev_cell=2.41 magnetic_moment_mub_per_atom=0.000 space_group="Fm-3m, No. 225" pbc="T T T"
Si 0.000 0.000 0.000
Te 1.902 1.902 1.902
Te 5.707 5.707 5.707
Pb 3.805 3.805 3.805

---

Relative energies with respect to the most stable structure, expressed in meV/atom: 1) 0; 2) 81.

---

1) 4
Lattice="3.768 0.000 0.000 0.000 5.347 0.000 0.000 0.000 5.352" Properties=species:S:1:pos:R:3 comment="SiTe2Pb, relaxed, DFT GGA-PBE" dos_ef_per_ev_cell=2.70 magnetic_moment_mub_per_atom=0.000 space_group="Pmmm, No. 47" pbc="T T T"
Si 0.000 0.000 0.000
Te 0.000 2.673 2.676
Te 1.884 0.000 2.676
Pb 1.884 2.673 0.000

---

2) 4
Lattice="0.000 3.770 3.770 3.770 0.000 3.770 3.770 3.770 0.000" Properties=species:S:1:pos:R:3 comment="SiTe2Pb, relaxed, DFT GGA-PBE" dos_ef_per_ev_cell=2.44 magnetic_moment_mub_per_atom=0.000 space_group="F-43m, No. 216" pbc="T T T"
Si 0.000 0.000 0.000
Te 3.770 3.770 3.770
Te 5.655 5.655 5.655
Pb 1.885 1.885 1.885

---

Relative energies with respect to the most stable structure, expressed in meV/atom: 1) 0; 2) 44.

---

1) 5
Lattice="5.394 0.000 0.000 0.000 5.394 0.000 0.000 0.000 5.394" Properties=species:S:1:pos:R:3 comment="TiSiPb3, relaxed, DFT GGA-PBE" dos_ef_per_ev_cell=5.75 magnetic_moment_mub_per_atom=0.000 space_group="Pm-3m, No. 221" pbc="T T T"
Ti 0.000 0.000 0.000
Si 2.697 2.697 2.697
Pb 0.000 0.000 2.697
Pb 0.000 2.697 0.000
Pb 2.697 0.000 0.000

---

2) 5
Lattice="5.324 0.000 0.000 0.000 5.324 0.000 0.000 0.000 5.324" Properties=species:S:1:pos:R:3 comment="TiSiPb3, relaxed, DFT GGA-PBE" dos_ef_per_ev_cell=9.75 magnetic_moment_mub_per_atom=0.030 space_group="Pm-3m, No. 221" pbc="T T T"
Ti 0.000 0.000 0.000
Si 2.662 2.662 2.662
Pb 0.000 2.662 2.662
Pb 2.662 0.000 2.662
Pb 2.662 2.662 0.000

---

Relative energies with respect to the most stable structure, expressed in meV/atom: 1) 0; 2) 264.

---

1) 10
Lattice="7.102 0.000 0.000 0.000 7.102 0.000 0.000 0.000 3.500" Properties=species:S:1:pos:R:3 comment="Ti2Si2Pb, relaxed, DFT GGA-PBE" dos_ef_per_ev_cell=12.16 magnetic_moment_mub_per_atom=0.000 space_group="P4/mbm, No. 127" pbc="T T T"
Ti 1.185 2.366 0.000
Ti 2.366 5.917 0.000
Ti 4.737 1.185 0.000
Ti 5.917 4.737 0.000
Si 0.841 4.392 1.750
Si 2.710 0.841 1.750
Si 4.392 6.261 1.750
Si 6.261 2.710 1.750
Pb 0.000 0.000 1.750
Pb 3.551 3.551 1.750

---

2) 5
Lattice="-1.750 1.750 7.332 1.750 -1.750 7.332 1.750 1.750 -7.332" Properties=species:S:1:pos:R:3 comment="Ti2Si2Pb, relaxed, DFT GGA-PBE" dos_ef_per_ev_cell=3.28 magnetic_moment_mub_per_atom=0.000 space_group="I4/mmm, No. 139" pbc="T T T"
Ti 0.000 0.000 1.714
Ti 0.000 0.000 12.951
Si 1.750 0.000 3.666
Si 0.000 1.750 3.666
Pb 0.000 0.000 7.332

---

Relative energies with respect to the most stable structure, expressed in meV/atom: 1) 138; 2) 0.

---

1) 5
Lattice="5.802 0.000 0.000 0.000 5.802 0.000 0.000 0.000 5.802" Properties=species:S:1:pos:R:3 comment="TlSiPb3, relaxed, DFT GGA-PBE" dos_ef_per_ev_cell=3.75 magnetic_moment_mub_per_atom=0.000 space_group="Pm-3m, No. 221" pbc="T T T"
Tl 0.000 0.000 0.000
Si 2.901 2.901 2.901
Pb 0.000 0.000 2.901
Pb 0.000 2.901 0.000
Pb 2.901 0.000 0.000

---

2) 5
Lattice="5.495 0.000 0.000 0.000 5.495 0.000 0.000 0.000 5.495" Properties=species:S:1:pos:R:3 comment="TlSiPb3, relaxed, DFT GGA-PBE" dos_ef_per_ev_cell=4.16 magnetic_moment_mub_per_atom=0.000 space_group="Pm-3m, No. 221" pbc="T T T"
Tl 0.000 0.000 0.000
Si 2.747 2.747 2.747
Pb 0.000 2.747 2.747
Pb 2.747 0.000 2.747
Pb 2.747 2.747 0.000

---

Relative energies with respect to the most stable structure, expressed in meV/atom: 1) 600; 2) 0.

---

1) 4
Lattice="1.962 1.133 8.139 -1.962 1.133 8.139 0.000 -2.266 8.139" Properties=species:S:1:pos:R:3 comment="Tm2SiPb, relaxed, DFT GGA-PBE" dos_ef_per_ev_cell=4.08 magnetic_moment_mub_per_atom=0.000 space_group="R-3m, No. 166" pbc="T T T"
Tm 0.000 0.000 5.694
Tm 0.000 0.000 18.725
Si 0.000 0.000 12.209
Pb 0.000 0.000 0.000

---

2) 4
Lattice="3.362 0.000 0.000 0.000 3.362 0.000 0.000 0.000 8.492" Properties=species:S:1:pos:R:3 comment="Tm2SiPb, relaxed, DFT GGA-PBE" dos_ef_per_ev_cell=2.67 magnetic_moment_mub_per_atom=0.000 space_group="P4/mmm, No. 123" pbc="T T T"
Tm 0.000 0.000 1.809
Tm 0.000 0.000 6.682
Si 1.681 1.681 0.000
Pb 1.681 1.681 4.246

---

Relative energies with respect to the most stable structure, expressed in meV/atom: 1) 0; 2) 16.